1.
Material: NaGe3Ir
Method: DFT, PBE
State: optimized geometry

Unit cell a=7.894 b=4.079 c=11.751 alpha=90.00 beta=90.00 gamma=90.00
Sites, in units of the cell vectors:
Na  0.175  0.250  0.004
Na  0.325  0.750  0.504
Na  0.675  0.250  0.496
Na  0.825  0.750  0.996
Ge  0.068  0.250  0.424
Ge  0.096  0.750  0.185
Ge  0.145  0.750  0.788
Ge  0.355  0.250  0.288
Ge  0.404  0.250  0.685
Ge  0.432  0.750  0.924
Ge  0.568  0.250  0.076
Ge  0.596  0.750  0.315
Ge  0.645  0.750  0.712
Ge  0.855  0.250  0.212
Ge  0.904  0.250  0.815
Ge  0.932  0.750  0.576
Ir  0.096  0.250  0.647
Ir  0.404  0.750  0.147
Ir  0.596  0.250  0.853
Ir  0.904  0.750  0.353

Properties
* energy of formation: -153 meV per atom
* space-group type: No. 62
* ρ: 7.60 g/cm3

---

2.
Material: KIn2SnAu4
Method: DFT, PBE
State: optimized geometry

Unit cell a=10.922 b=10.922 c=10.922 alpha=24.87 beta=24.87 gamma=24.87
Sites, in units of the cell vectors:
K  0.000  0.000  0.000
In  0.248  0.248  0.248
In  0.752  0.752  0.752
Sn  0.500  0.500  0.500
Au  0.129  0.129  0.129
Au  0.406  0.406  0.406
Au  0.594  0.594  0.594
Au  0.871  0.871  0.871

Properties
* energy of formation: -162 meV per atom
* space-group type: No. 166
* ρ: 9.63 g/cm3

---

3.
Material: Er6In2Rh
Method: DFT, PBE
State: optimized geometry

Unit cell a=8.600 b=8.600 c=8.600 alpha=145.96 beta=130.53 gamma=61.41
Sites, in units of the cell vectors:
Er  0.084  0.345  0.739
Er  0.227  0.000  0.227
Er  0.394  0.655  0.739
Er  0.606  0.345  0.261
Er  0.773  0.000  0.773
Er  0.916  0.655  0.261
In  0.333  0.833  0.500
In  0.667  0.167  0.500
Rh  0.000  0.500  0.500

Properties
* energy of formation: -266 meV per atom
* space-group type: No. 71
* ρ: 8.28 g/cm3

---

4.
Material: Th2NbFeN5
Method: DFT, PBE
State: optimized geometry

Unit cell a=7.065 b=7.065 c=10.188 alpha=90.00 beta=90.00 gamma=152.60
Sites, in units of the cell vectors:
Th  0.118  0.882  0.500
Th  0.135  0.865  0.136
Th  0.865  0.135  0.636
Th  0.882  0.118  0.000
Nb  0.192  0.808  0.830
Nb  0.808  0.192  0.330
Fe  0.449  0.551  0.255
Fe  0.551  0.449  0.755
N  0.028  0.972  0.822
N  0.300  0.700  0.474
N  0.319  0.681  0.181
N  0.341  0.659  0.818
N  0.499  0.501  0.586
N  0.501  0.499  0.086
N  0.659  0.341  0.318
N  0.681  0.319  0.681
N  0.700  0.300  0.974
N  0.972  0.028  0.322

Properties
* space-group type: No. 36
* ρ: 9.69 g/cm3
* E_form (uncorrected): -1.06 eV/atom

---

5.
Material: NbTlSb2Te
Method: DFT, PBE
State: optimized geometry

Unit cell a=5.455 b=5.455 c=5.451 alpha=90.00 beta=90.00 gamma=90.00
Sites, in units of the cell vectors:
Nb  0.000  0.000  0.000
Tl  0.500  0.500  0.500
Sb  0.000  0.500  0.000
Sb  0.500  0.000  0.000
Te  0.000  0.000  0.500

Properties
* space-group type: No. 123
* ρ: 6.84 g/cm3
* E_form (uncorrected): 0.13 eV/atom

---

6.
Material: Tb7PrTl2
Method: DFT, PBE
State: optimized geometry

Unit cell a=8.968 b=8.968 c=5.512 alpha=90.00 beta=90.00 gamma=118.26
Sites, in units of the cell vectors:
Tb  0.000  0.000  0.000
Tb  0.197  0.441  0.000
Tb  0.268  0.732  0.500
Tb  0.441  0.197  0.000
Tb  0.559  0.803  0.000
Tb  0.732  0.268  0.500
Tb  0.803  0.559  0.000
Pr  0.500  0.500  0.500
Tl  0.195  0.805  0.000
Tl  0.805  0.195  0.000

Properties
* energy of formation: 354 meV per atom
* space-group type: No. 65
* ρ: 7.07 g/cm3

---

7.
Material: HgMo3
Method: DFT, PBE
State: optimized geometry

Unit cell a=5.773 b=5.773 c=9.315 alpha=90.00 beta=90.00 gamma=120.00
Sites, in units of the cell vectors:
Hg  0.000  0.000  0.000
Hg  0.000  0.000  0.500
Hg  0.333  0.667  0.250
Hg  0.667  0.333  0.750
Mo  0.000  0.500  0.000
Mo  0.000  0.500  0.500
Mo  0.182  0.364  0.750
Mo  0.182  0.818  0.750
Mo  0.364  0.182  0.250
Mo  0.500  0.000  0.000
Mo  0.500  0.000  0.500
Mo  0.500  0.500  0.000
Mo  0.500  0.500  0.500
Mo  0.636  0.818  0.750
Mo  0.818  0.182  0.250
Mo  0.818  0.636  0.250

Properties
* energy of formation: 383 meV per atom
* space-group type: No. 194
* ρ: 12.07 g/cm3

---

8.
Material: CsPdCl
Method: DFT, PBE
State: optimized geometry

Unit cell a=4.772 b=5.183 c=8.895 alpha=106.87 beta=90.32 gamma=90.01
Sites, in units of the cell vectors:
Cs  0.000  0.000  0.000
Cs  0.004  0.734  0.463
Pd  0.005  0.377  0.754
Pd  0.504  0.297  0.590
Cl  0.503  0.160  0.311
Cl  0.505  0.430  0.861

Properties
* space-group type: No. 1
* ρ: 4.33 g/cm3
* E_form (uncorrected): -0.82 eV/atom

---

9.
Material: PmTaRuO6
Method: DFT, PBE
State: optimized geometry

Unit cell a=4.929 b=4.929 c=9.716 alpha=90.00 beta=90.00 gamma=90.00
Sites, in units of the cell vectors:
Pm  0.000  0.000  0.000
Pm  0.500  0.500  0.500
Ta  0.000  0.000  0.662
Ta  0.500  0.500  0.162
Ru  0.000  0.000  0.324
Ru  0.500  0.500  0.824
O  0.172  0.172  0.492
O  0.212  0.212  0.801
O  0.215  0.215  0.179
O  0.285  0.715  0.679
O  0.288  0.712  0.301
O  0.328  0.672  0.992
O  0.672  0.328  0.992
O  0.712  0.288  0.301
O  0.715  0.285  0.679
O  0.785  0.785  0.179
O  0.788  0.788  0.801
O  0.828  0.828  0.492

Properties
* space-group type: No. 102
* ρ: 7.36 g/cm3
* E_form (uncorrected): -2.29 eV/atom

---

10.
Material: MnNi2P
Method: DFT, PBE
State: optimized geometry

Unit cell a=3.086 b=3.086 c=4.969 alpha=90.00 beta=90.00 gamma=90.00
Sites, in units of the cell vectors:
Mn  0.000  0.000  0.000
Ni  0.500  0.500  0.257
Ni  0.500  0.500  0.743
P  0.000  0.000  0.500

Properties
* energy of formation: -162 meV per atom
* space-group type: No. 123
* ρ: 7.14 g/cm3

---

11.
Material: Tb4CdAg2Ru
Method: DFT, PBE
State: optimized geometry

Unit cell a=8.797 b=8.797 c=8.797 alpha=33.94 beta=33.94 gamma=33.94
Sites, in units of the cell vectors:
Tb  0.115  0.115  0.115
Tb  0.367  0.367  0.367
Tb  0.633  0.633  0.633
Tb  0.885  0.885  0.885
Cd  0.500  0.500  0.500
Ag  0.242  0.242  0.242
Ag  0.758  0.758  0.758
Ru  0.000  0.000  0.000

Properties
* energy of formation: -348 meV per atom
* space-group type: No. 166
* ρ: 9.35 g/cm3

---

12.
Material: MgInCoN
Method: DFT, PBE
State: optimized geometry

Unit cell a=3.469 b=3.654 c=5.609 alpha=90.00 beta=90.00 gamma=90.00
Sites, in units of the cell vectors:
Mg  0.000  0.000  0.000
In  0.500  0.000  0.548
Co  0.500  0.500  0.205
N  0.000  0.500  0.193

Properties
* space-group type: No. 25
* ρ: 4.95 g/cm3
* E_form (uncorrected): -0.10 eV/atom

---

The evaluated D(E_F) for the records listed, in turn: 0.4714 0.3843 0.8678 0.3957 0.6466 1.9827 0.7904 0.0000 0.3849 0.6657 0.6967 0.4677 states/eV/atom.